No. 1
## HfSiS2Cl (PBE)

Data for a relaxed structure of HfSiS2Cl.

Properties
Total magnetic moment   1.320 μB/cell
Total energy   -5.017 eV/atom

Geometry as POSCAR:
```
HfSiS2Cl
1.0
-1.9933 2.2528 3.4846
-2.1127 -3.8782 1.2988
3.4482 -1.0011 2.6197
Si S Cl Hf
1 2 1 1
Direct
0.0000 0.0000 0.0000
0.0000 0.5000 0.0000
0.5000 0.0000 0.0000
0.0000 0.0000 0.5000
0.5000 0.5000 0.5000
```

---

No. 2
## HfSnS2Cl (PBE)

Data for a relaxed structure of HfSnS2Cl.

Properties
Total magnetic moment   0.000 μB/cell
Total energy   -5.618 eV/atom

Geometry as POSCAR:
```
HfSnS2Cl
1.0
4.9746 0.0000 0.0000
0.0000 4.9746 0.0000
0.0000 0.0000 4.9314
Hf S Sn Cl
1 2 1 1
Direct
0.0000 0.0000 0.0000
0.0000 0.5000 0.0000
0.5000 0.0000 0.0000
0.5000 0.5000 0.5000
0.0000 0.0000 0.5000
```

---

No. 3
## HfSnSCl2 (PBE)

Data for a relaxed structure of HfSnSCl2.

Properties
Total magnetic moment   0.217 μB/cell
Total energy   -5.089 eV/atom

Geometry as POSCAR:
```
HfSnSCl2
1.0
4.9911 0.0000 0.0000
0.0000 4.9911 0.0000
0.0000 0.0000 4.9761
Hf Cl Sn S
1 2 1 1
Direct
0.0000 0.0000 0.0000
0.5000 0.0000 0.0000
0.0000 0.5000 0.0000
0.5000 0.5000 0.5000
0.0000 0.0000 0.5000
```

---

No. 4
## HfSnS2Cl (PBE)

Data for a relaxed structure of HfSnS2Cl.

Properties
Total magnetic moment   1.595 μB/cell
Total energy   -4.451 eV/atom

Geometry as POSCAR:
```
HfSnS2Cl
1.0
5.0452 0.0000 0.0000
0.0000 5.0452 0.0000
0.0000 0.0000 4.9573
Sn Hf S Cl
1 1 2 1
Direct
0.0000 0.0000 0.0000
0.5000 0.5000 0.5000
0.0000 0.5000 0.0000
0.5000 0.0000 0.0000
0.0000 0.0000 0.5000
```